Na4IrO4 | PBE-GGA | optimized geometry

Summary:
**Magnetization**: 3.02 μB/cell
**Uncorrected formation energy**: -121.8 kJ per mole of atoms
**Calculated total energy**: -0.3702 Ry per atom

Geometry as POSCAR:
```
Na4IrO4
1.0
5.656 -0.012 0.000
-3.639 4.331 0.000
-1.009 -2.159 5.130
Ir Na O
1 4 4
direct
0.000 0.000 0.000
0.405 0.197 0.602
0.595 0.803 0.398
0.803 0.405 0.208
0.197 0.595 0.792
0.082 0.254 0.337
0.254 0.918 0.172
0.746 0.082 0.828
0.918 0.746 0.663
```

---

Na3Ir2O4 | PBE-GGA | optimized geometry

Summary:
**Magnetization**: 0.00 μB/cell
**Uncorrected formation energy**: -76.5 kJ per mole of atoms
**Calculated total energy**: -0.3973 Ry per atom

Geometry as POSCAR:
```
Na3Ir2O4
1.0
5.160 0.047 -0.268
-0.208 5.639 -3.035
0.363 1.024 8.641
Ir Na O
4 6 8
direct
0.492 0.391 0.651
0.992 0.260 0.651
0.008 0.740 0.349
0.508 0.609 0.349
0.982 0.241 0.251
0.518 0.989 0.749
0.482 0.011 0.251
0.250 0.492 0.000
0.750 0.508 0.000
0.018 0.759 0.749
0.491 0.654 0.845
0.739 0.237 0.476
0.239 0.239 0.476
0.991 0.191 0.845
0.761 0.761 0.524
0.009 0.809 0.155
0.261 0.763 0.524
0.509 0.346 0.155
```